Entry from the Alexandria database: Ba2SbSe at its PBEsol-relaxed geometry (SCAN).

Properties
symmetry	R3m (160)
D(E_F)	1.64	states/eV per cell
formation energy from raw total energies	-6.01	eV per formula unit
density	5.1	g/cm³

Structure (POSCAR):
```
Ba2SbSe
1.0
-2.646 2.118 -2.992
-4.292 -1.309 -0.545
-4.813 5.889 5.010
Se Sb Ba
1 1 2
Direct
0.333 0.333 0.002 Se
0.501 0.501 0.498 Sb
0.741 0.741 0.776 Ba
0.925 0.925 0.224 Ba
```